MgTl2In: optimized geometry, PBE-GGA.

Unit cell a=3.4100 b=5.6019 c=5.8205 alpha=90.00 beta=96.64 gamma=90.00
Closest atoms and distances in Å follow each position.
Space group Pm (No. 6)
One atom of each set of equivalent atoms:
Mg1 0.0000 0.0000 0.0000 [1 per cell]  5 Tl 3.20-3.44, 2 In 3.24, 2 Mg 3.41
Tl1 0.4700 0.0000 0.5085 [1 per cell]  3 Mg 3.20-3.44, 2 In 3.33, 4 Tl 3.41
Tl2 0.7890 0.5000 0.2515 [1 per cell]  3 In 3.15-3.34, 2 Mg 3.28, 4 Tl 3.41
In1 0.2112 0.5000 0.7620 [1 per cell]  5 Tl 3.15-3.34, 2 Mg 3.24, 2 In 3.41

Calculated values
As for the density of states at the Fermi level: 0.38 states/eV per atom. As for the electronic total energy: -8.98 eV/cell. The formation energy from the elements is 22 meV/atom. The calculated volume comes out at 110 Å³/f.u.

=====

Ti5Sb2Rh: optimized geometry, PBE-GGA.

Unit cell a=10.4818 b=10.4818 c=5.2305 alpha=90.00 beta=90.00 gamma=90.00
Closest atoms and distances in Å follow each position.
Space group I4/mcm (No. 140)
One atom of each set of equivalent atoms:
Ti1 0.0000 0.5000 0.2500 [4 per cell]  2 Ti 2.62, 4 Sb 2.75
Ti2 0.0736 0.2111 0.0000 [16 per cell]  2 Rh 2.68, 2 Sb 2.80-2.81
Sb1 0.1632 0.3368 0.5000 [8 per cell]  10 Ti 2.75-3.08
Rh1 0.0000 0.0000 0.2500 [4 per cell]  2 Rh 2.62, 8 Ti 2.68

Calculated values
As for the density of states at the Fermi level: 1.47 states/eV per atom. As for the electronic total energy: -236.83 eV/cell. As for the uncorrected formation energy: -0.517 eV/atom. The calculated volume comes out at 144 Å³/f.u.

=====

CsCa2LaP: optimized geometry, PBE-GGA.

Unit cell a=5.8741 b=5.8741 c=5.8947 alpha=90.00 beta=90.00 gamma=90.00
Closest atoms and distances in Å follow each position.
Space group P4/mmm (No. 123)
One atom of each set of equivalent atoms:
Cs1 0.0000 0.0000 0.0000 [1 per cell]  4 La 4.15, 8 Ca 4.16
Ca1 0.0000 0.5000 0.5000 [2 per cell]  2 P 2.94
La1 0.5000 0.5000 0.0000 [1 per cell]  2 P 2.95
P1 0.5000 0.5000 0.5000 [1 per cell]  4 Ca 2.94, 2 La 2.95

Calculated values
As for the density of states at the Fermi level: 1.61 states/eV per atom. As for the electronic total energy: -16.29 eV/cell. The formation energy from the elements is -219 meV/atom. The calculated volume comes out at 203 Å³/f.u.

=====

GaSn2Au: optimized geometry, PBE-GGA.

Unit cell a=4.6966 b=4.6966 c=4.1426 alpha=90.00 beta=90.00 gamma=90.00
Closest atoms and distances in Å follow each position.
Space group P4/mmm (No. 123)
One atom of each set of equivalent atoms:
Ga1 0.0000 0.0000 0.0000 [1 per cell]  8 Sn 3.13, 4 Au 3.32
Sn1 0.0000 0.5000 0.5000 [2 per cell]  4 Ga 3.13, 4 Au 3.13, 4 Sn 3.32
Au1 0.5000 0.5000 0.0000 [1 per cell]  8 Sn 3.13, 4 Ga 3.32

Calculated values
As for the density of states at the Fermi level: 0.43 states/eV per atom. As for the electronic total energy: -14.28 eV/cell. The formation energy from the elements is 8 meV/atom. The calculated volume comes out at 91 Å³/f.u.

=====

Tb3UIr8: optimized geometry, PBE-GGA.

Unit cell a=5.3647 b=5.3647 c=26.2403 alpha=90.00 beta=90.00 gamma=120.00
Closest atoms and distances in Å follow each position.
Space group R3m (No. 160, hexagonal axes)
One atom of each set of equivalent atoms:
Tb1 0.0000 0.0000 0.0000 [3 per cell]  12 Ir 3.14-3.17, 4 Tb 3.27-3.28
Tb2 0.0000 0.0000 0.1249 [3 per cell]  12 Ir 3.12-3.15, 1 Tb 3.28, 3 U 3.30
Tb3 0.0000 0.0000 0.6265 [3 per cell]  12 Ir 3.14-3.17, 3 Tb 3.27, 1 U 3.28
U1 0.0000 0.0000 0.5014 [3 per cell]  12 Ir 3.12-3.15, 4 Tb 3.28-3.30
Ir1 0.0000 0.0000 0.3132 [3 per cell]  6 Ir 2.69
Ir2 0.0000 0.0000 0.8130 [3 per cell]  6 Ir 2.66-2.67
Ir3 0.0023 0.5012 0.0641 [9 per cell]  6 Ir 2.66-2.70
Ir4 0.1680 0.3361 0.8955 [9 per cell]  6 Ir 2.66-2.70

Calculated values
As for the density of states at the Fermi level: 0.93 states/eV per atom. As for the electronic total energy: -314.15 eV/cell. The formation energy from the elements is -721 meV/atom. The calculated volume comes out at 218 Å³/f.u.

=====

Th8CuTe4C3: optimized geometry, PBE-GGA.

Unit cell a=8.0246 b=8.0246 c=22.3129 alpha=90.00 beta=90.00 gamma=120.00
Closest atoms and distances in Å follow each position.
Space group R-3m (No. 166, hexagonal axes)
One atom of each set of equivalent atoms:
Th1 0.0000 0.0000 0.2290 [6 per cell]  3 C 2.70
Th2 0.0212 0.5106 0.7700 [18 per cell]  2 C 2.65, 1 Cu 2.84
Cu1 0.0000 0.0000 0.5000 [3 per cell]  6 Th 2.84
Te1 0.0000 0.0000 0.0000 [3 per cell]  6 Th 3.17
Te2 0.0000 0.5000 0.0000 [9 per cell]  6 Th 3.28-3.32
C1 0.0000 0.5000 0.5000 [9 per cell]  6 Th 2.65-2.70

Calculated values
As for the density of states at the Fermi level: 0.60 states/eV per atom. As for the electronic total energy: -345.48 eV/cell. As for the uncorrected formation energy: -0.717 eV/atom. The calculated volume comes out at 415 Å³/f.u.

=====

Sm2Ho7Cd2: optimized geometry, PBE-GGA.

Unit cell a=9.1305 b=9.4892 c=8.0261 alpha=90.00 beta=104.54 gamma=90.00
Closest atoms and distances in Å follow each position.
Space group C2/m (No. 12)
One atom of each set of equivalent atoms:
Sm1 0.0000 0.1795 0.0000 [4 per cell]  8 Ho 3.35-3.61, 1 Sm 3.41
Ho1 0.0000 0.0000 0.5000 [2 per cell]  4 Ho 3.38, 2 Cd 3.52
Ho2 0.1794 0.2974 0.6721 [8 per cell]  2 Cd 3.11-3.18, 3 Ho 3.38-3.47, 1 Sm 3.42
Ho3 0.1931 0.5000 0.0358 [4 per cell]  1 Cd 2.90
Cd1 0.1030 0.5000 0.3573 [4 per cell]  5 Ho 2.90-3.18

Calculated values
As for the density of states at the Fermi level: 1.30 states/eV per atom. As for the electronic total energy: -85.78 eV/cell. The formation energy from the elements is 38 meV/atom. The calculated volume comes out at 337 Å³/f.u.